# 1
Eu2NiGe3 | meta-GGA SCAN | single point on PBEsol structure

Values from the calculation:
Calculated formation energy (eV/atom): -0.59
Calculated volume (Å³ per atom): 21.14
Symmetry: P3m1 (156)
VASP energy (eV per cell): -184.410

Cell: 4.083 4.083 8.788 Å, 90.00 90.00 120.00°
Each line ends with the local moment (μB).
Fractional positions:
Eu1 0.000 0.000 0.977  6.80
Eu2 0.000 0.000 0.523  6.80
Ni1 0.667 0.333 0.749  -0.05
Ge1 0.667 0.333 0.303  -0.04
Ge2 0.333 0.667 0.750  -0.01
Ge3 0.333 0.667 0.198  -0.04

=====

# 2
ScZnIn | meta-GGA SCAN | single point on PBEsol structure

Values from the calculation:
Calculated formation energy (eV/atom): -0.48
Calculated volume (Å³ per atom): 20.64
Symmetry: F-43m (216)
VASP energy (eV per cell): -62.575

Cell: 4.440 4.440 4.440 Å, 60.00 60.00 60.00°
Fractional positions:
Sc1 0.500 0.500 0.500
Zn1 0.250 0.250 0.250
In1 0.000 0.000 0.000

=====

# 3
SrYTc2 | meta-GGA SCAN | single point on PBEsol structure

Values from the calculation:
Calculated formation energy (eV/atom): 0.96
Calculated volume (Å³ per atom): 20.57
Relative energy among the computed polymorphs (meV per atom): 134
Symmetry: R-3m (166)
VASP energy (eV per cell): -116.403

Cell: 3.206 3.206 9.430 Å, 80.21 80.21 60.00°
Fractional positions:
Sr1 0.000 0.000 0.000
Tc1 0.244 0.244 0.268
Tc2 0.756 0.756 0.732
Y1 0.500 0.500 0.500

=====

# 4
Ba3CrSe | meta-GGA SCAN | single point on PBEsol structure

Values from the calculation:
Calculated volume (Å³ per atom): 47.64
Formation energy from raw total energies (eV per atom): -0.486
Symmetry: Pm-3m (221)
VASP energy (eV per cell): -159.543

Cell: 6.199 6.199 6.199 Å, 90.00 90.00 90.00°
Each line ends with the local moment (μB).
Fractional positions:
Cr1 0.500 0.500 0.500  4.31
Ba1 0.000 0.500 0.000  0.14
Ba2 0.000 0.000 0.500  0.14
Ba3 0.500 0.000 0.000  0.14
Se1 0.000 0.000 0.000  0.00

=====

# 5
AlIrSe2 | meta-GGA SCAN | single point on PBEsol structure

Values from the calculation:
Calculated volume (Å³ per atom): 17.44
Formation energy from raw total energies (eV per atom): -0.080
Symmetry: P4/mmm (123)
VASP energy (eV per cell): -119.326

Cell: 3.688 3.688 5.128 Å, 90.00 90.00 90.00°
Fractional positions:
Ir1 0.000 0.000 0.500
Al1 0.500 0.500 0.000
Se1 0.000 0.000 0.000
Se2 0.500 0.500 0.500

=====

# 6
Ba2ZnAu2 | meta-GGA SCAN | single point on PBEsol structure

Values from the calculation:
Calculated formation energy (eV/atom): -0.60
Calculated volume (Å³ per atom): 29.27
Symmetry: P4/mbm (127)
VASP energy (eV per cell): -467.850

Cell: 4.456 8.104 8.104 Å, 90.00 90.00 90.00°
Fractional positions:
Zn1 0.000 0.000 0.000
Zn2 0.000 0.500 0.500
Au1 0.000 0.375 0.875
Au2 0.000 0.875 0.625
Au3 0.000 0.625 0.125
Au4 0.000 0.125 0.375
Ba1 0.500 0.177 0.677
Ba2 0.500 0.677 0.823
Ba3 0.500 0.823 0.323
Ba4 0.500 0.323 0.177

=====

# 7
BHOs2 | meta-GGA SCAN | single point on PBEsol structure

Values from the calculation:
Calculated volume (Å³ per atom): 9.55
Symmetry: I-42d (122)
VASP energy (eV per cell): -305.798

Cell: 4.634 4.634 4.634 Å, 73.59 68.98 111.02°
Fractional positions:
H1 0.000 0.500 0.500
H2 0.500 0.750 0.750
B1 0.000 0.000 0.000
B2 0.500 0.250 0.250
Os1 0.027 0.402 0.125
Os2 0.973 0.848 0.625
Os3 0.473 0.625 0.402
Os4 0.527 0.125 0.848

=====

# 8
Bi2Se2S | meta-GGA SCAN | single point on PBEsol structure

Values from the calculation:
Calculated volume (Å³ per atom): 26.09
Formation energy from raw total energies (eV per atom): -0.287
Symmetry: Pnma (62)
VASP energy (eV per cell): -833.510

Cell: 4.069 11.224 11.424 Å, 90.00 90.00 90.00°
Fractional positions:
Bi1 0.250 0.166 0.506
Bi2 0.250 0.334 0.006
Bi3 0.750 0.834 0.494
Bi4 0.750 0.666 0.994
Bi5 0.750 0.466 0.667
Bi6 0.750 0.034 0.167
Bi7 0.250 0.534 0.333
Bi8 0.250 0.966 0.833
Se1 0.250 0.634 0.553
Se2 0.250 0.866 0.053
Se3 0.750 0.366 0.447
Se4 0.750 0.134 0.947
Se5 0.250 0.298 0.725
Se6 0.250 0.202 0.225
Se7 0.750 0.702 0.275
Se8 0.750 0.798 0.775
S1 0.750 0.055 0.620
S2 0.750 0.445 0.120
S3 0.250 0.945 0.380
S4 0.250 0.555 0.880

=====

Number 1: total magnetic moment 14.0 Bohr magnetons per cell. Number 2: total magnetic moment 0.0 Bohr magnetons per cell. Number 3: total magnetic moment 0.0 Bohr magnetons per cell. Number 4: total magnetic moment 7.5 Bohr magnetons per cell. Number 5: total magnetic moment 0.0 Bohr magnetons per cell. Number 6: total magnetic moment 0.0 Bohr magnetons per cell. Number 7: total magnetic moment 0.0 Bohr magnetons per cell. Number 8: total magnetic moment 0.0 Bohr magnetons per cell.